The following is a DFT calculation (PBE) of BaLiPdO2 after structural relaxation.

Geometry as CIF:
```
data_BaLiPdO2
_cell_length_a 6.6201
_cell_length_b 6.6201
_cell_length_c 4.7030
_cell_angle_alpha 90.00
_cell_angle_beta 90.00
_cell_angle_gamma 132.34
_space_group_name_H-M_alt 'P 1'
_space_group_IT_number 1
_space_group_name_Hall 'P 1'
loop_
_atom_site_label
_atom_site_type_symbol
_atom_site_fract_x
_atom_site_fract_y
_atom_site_fract_z
Ba1 Ba 0.2500 0.7500 0.7577
Ba2 Ba 0.7500 0.2500 0.2423
Li1 Li 0.0000 0.0000 0.5000
Li2 Li 0.5000 0.5000 0.5000
Pd1 Pd 0.2500 0.2500 0.0000
Pd2 Pd 0.7500 0.7500 0.0000
O1 O 0.1262 0.8738 0.2566
O2 O 0.3738 0.6262 0.2566
O3 O 0.6262 0.3738 0.7434
O4 O 0.8738 0.1262 0.7434
```

Summary:
As for the uncorrected formation energy: -1.233 eV/atom. As for the total moment: 0.205 μB/atom.

=====

The following is a DFT calculation (PBE) of Ba2Li2PdO4 after structural relaxation.

Geometry as CIF:
```
data_Ba2Li2PdO4
_cell_length_a 7.4061
_cell_length_b 7.4061
_cell_length_c 5.6977
_cell_angle_alpha 101.92
_cell_angle_beta 101.92
_cell_angle_gamma 26.09
_space_group_name_H-M_alt 'P 1'
_space_group_IT_number 1
_space_group_name_Hall 'P 1'
loop_
_atom_site_label
_atom_site_type_symbol
_atom_site_fract_x
_atom_site_fract_y
_atom_site_fract_z
Ba1 Ba 0.1329 0.1329 0.0481
Ba2 Ba 0.8671 0.8671 0.9519
Li1 Li 0.3134 0.3134 0.4594
Li2 Li 0.6866 0.6866 0.5406
Pd1 Pd 0.0000 0.0000 0.5000
O1 O 0.2402 0.2402 0.7297
O2 O 0.4583 0.4583 0.6836
O3 O 0.5417 0.5417 0.3164
O4 O 0.7598 0.7598 0.2703
```

Summary:
As for the uncorrected formation energy: -1.752 eV/atom. As for the total moment: 0.000 μB/atom.

=====

The following is a DFT calculation (PBE) of BaLiPm2O5 after structural relaxation.

Geometry as CIF:
```
data_BaLiPm2O5
_cell_length_a 7.5005
_cell_length_b 7.5005
_cell_length_c 7.5005
_cell_angle_alpha 126.98
_cell_angle_beta 126.98
_cell_angle_gamma 78.28
_space_group_name_H-M_alt 'P 1'
_space_group_IT_number 1
_space_group_name_Hall 'P 1'
loop_
_atom_site_label
_atom_site_type_symbol
_atom_site_fract_x
_atom_site_fract_y
_atom_site_fract_z
Ba1 Ba 0.2500 0.2500 0.0000
Ba2 Ba 0.7500 0.7500 0.0000
Li1 Li 0.2500 0.7500 0.5000
Li2 Li 0.7500 0.2500 0.5000
Pm1 Pm 0.1683 0.6683 0.8366
Pm2 Pm 0.3317 0.1683 0.5000
Pm3 Pm 0.6683 0.8317 0.5000
Pm4 Pm 0.8317 0.3317 0.1634
O1 O 0.0000 0.0000 0.0000
O2 O 0.0156 0.2299 0.5000
O3 O 0.2299 0.7299 0.2144
O4 O 0.2701 0.4844 0.5000
O5 O 0.4844 0.9844 0.2144
O6 O 0.5000 0.5000 0.0000
O7 O 0.5156 0.0156 0.7856
O8 O 0.7299 0.5156 0.5000
O9 O 0.7701 0.2701 0.7856
O10 O 0.9844 0.7701 0.5000
```

Summary:
As for the uncorrected formation energy: -2.720 eV/atom. As for the total moment: 0.110 μB/atom.

=====

The following is a DFT calculation (PBE) of BaLiPmO3 after structural relaxation.

Geometry as CIF:
```
data_BaLiPmO3
_cell_length_a 6.1344
_cell_length_b 6.1344
_cell_length_c 9.0911
_cell_angle_alpha 90.00
_cell_angle_beta 90.00
_cell_angle_gamma 145.82
_space_group_name_H-M_alt 'P 1'
_space_group_IT_number 1
_space_group_name_Hall 'P 1'
loop_
_atom_site_label
_atom_site_type_symbol
_atom_site_fract_x
_atom_site_fract_y
_atom_site_fract_z
Ba1 Ba 0.2436 0.7564 0.7500
Ba2 Ba 0.7564 0.2436 0.2500
Li1 Li 0.0296 0.9704 0.2500
Li2 Li 0.9704 0.0296 0.7500
Pm1 Pm 0.5000 0.5000 0.0000
Pm2 Pm 0.5000 0.5000 0.5000
O1 O 0.1206 0.8794 0.0743
O2 O 0.1206 0.8794 0.4257
O3 O 0.4382 0.5618 0.2500
O4 O 0.5618 0.4382 0.7500
O5 O 0.8794 0.1206 0.5743
O6 O 0.8794 0.1206 0.9257
```

Summary:
As for the uncorrected formation energy: -2.700 eV/atom. As for the total moment: 0.000 μB/atom.

=====

The following is a DFT calculation (PBE) of BaLiPr2O4 after structural relaxation.

Geometry as CIF:
```
data_BaLiPr2O4
_cell_length_a 6.2904
_cell_length_b 6.2904
_cell_length_c 11.9807
_cell_angle_alpha 90.00
_cell_angle_beta 90.00
_cell_angle_gamma 146.47
_space_group_name_H-M_alt 'P 1'
_space_group_IT_number 1
_space_group_name_Hall 'P 1'
loop_
_atom_site_label
_atom_site_type_symbol
_atom_site_fract_x
_atom_site_fract_y
_atom_site_fract_z
Ba1 Ba 0.1037 0.8963 0.7500
Ba2 Ba 0.8963 0.1037 0.2500
Li1 Li 0.1715 0.8285 0.2500
Li2 Li 0.8285 0.1715 0.7500
Pr1 Pr 0.3697 0.6303 0.5540
Pr2 Pr 0.3697 0.6303 0.9460
Pr3 Pr 0.6303 0.3697 0.0540
Pr4 Pr 0.6303 0.3697 0.4460
O1 O 0.0000 0.0000 0.0000
O2 O 0.0000 0.0000 0.5000
O3 O 0.2627 0.7373 0.1170
O4 O 0.2627 0.7373 0.3830
O5 O 0.4199 0.5801 0.7500
O6 O 0.5801 0.4199 0.2500
O7 O 0.7373 0.2627 0.6170
O8 O 0.7373 0.2627 0.8830
```

Summary:
As for the uncorrected formation energy: -2.669 eV/atom. As for the total moment: 0.000 μB/atom.

=====

The following is a DFT calculation (PBE) of Ba3Li2PtO6 after structural relaxation.

Geometry as CIF:
```
data_Ba3Li2PtO6
_cell_length_a 5.9192
_cell_length_b 5.9192
_cell_length_c 6.7186
_cell_angle_alpha 90.00
_cell_angle_beta 90.00
_cell_angle_gamma 120.00
_space_group_name_H-M_alt 'P 1'
_space_group_IT_number 1
_space_group_name_Hall 'P 1'
loop_
_atom_site_label
_atom_site_type_symbol
_atom_site_fract_x
_atom_site_fract_y
_atom_site_fract_z
Ba1 Ba 0.0000 0.0000 0.0000
Ba2 Ba 0.3333 0.6667 0.6387
Ba3 Ba 0.6667 0.3333 0.3613
Li1 Li 0.3333 0.6667 0.2327
Li2 Li 0.6667 0.3333 0.7673
Pt1 Pt 0.0000 0.0000 0.5000
O1 O 0.1629 0.3258 0.3158
O2 O 0.1629 0.8371 0.3158
O3 O 0.3258 0.1629 0.6842
O4 O 0.6742 0.8371 0.3158
O5 O 0.8371 0.1629 0.6842
O6 O 0.8371 0.6742 0.6842
```

Summary:
As for the uncorrected formation energy: -1.861 eV/atom. As for the total moment: 0.000 μB/atom.

=====

The following is a DFT calculation (PBE) of Ba2Li3PtO6 after structural relaxation.

Geometry as CIF:
```
data_Ba2Li3PtO6
_cell_length_a 6.6431
_cell_length_b 6.6431
_cell_length_c 5.2223
_cell_angle_alpha 99.26
_cell_angle_beta 99.26
_cell_angle_gamma 126.91
_space_group_name_H-M_alt 'P 1'
_space_group_IT_number 1
_space_group_name_Hall 'P 1'
loop_
_atom_site_label
_atom_site_type_symbol
_atom_site_fract_x
_atom_site_fract_y
_atom_site_fract_z
Ba1 Ba 0.1720 0.8280 0.0000
Ba2 Ba 0.8280 0.1720 0.0000
Li1 Li 0.0000 0.0000 0.5000
Li2 Li 0.4047 0.5953 0.5000
Li3 Li 0.5953 0.4047 0.5000
Pt1 Pt 0.5000 0.5000 0.0000
O1 O 0.1770 0.4207 0.7357
O2 O 0.2761 0.2761 0.2197
O3 O 0.4207 0.1770 0.7357
O4 O 0.5793 0.8230 0.2643
O5 O 0.7239 0.7239 0.7803
O6 O 0.8230 0.5793 0.2643
```

Summary:
As for the uncorrected formation energy: -1.671 eV/atom. As for the total moment: 0.087 μB/atom.

=====

The following is a DFT calculation (PBE) of Ba2Li2PtO6 after structural relaxation.

Geometry as CIF:
```
data_Ba2Li2PtO6
_cell_length_a 6.1690
_cell_length_b 6.1690
_cell_length_c 6.1690
_cell_angle_alpha 56.71
_cell_angle_beta 56.71
_cell_angle_gamma 56.71
_space_group_name_H-M_alt 'P 1'
_space_group_IT_number 1
_space_group_name_Hall 'P 1'
loop_
_atom_site_label
_atom_site_type_symbol
_atom_site_fract_x
_atom_site_fract_y
_atom_site_fract_z
Ba1 Ba 0.2311 0.2311 0.2311
Ba2 Ba 0.7689 0.7689 0.7689
Li1 Li 0.4228 0.4228 0.4228
Li2 Li 0.5772 0.5772 0.5772
Pt1 Pt 0.0000 0.0000 0.0000
O1 O 0.2326 0.2326 0.7652
O2 O 0.2326 0.7652 0.2326
O3 O 0.2348 0.7674 0.7674
O4 O 0.7652 0.2326 0.2326
O5 O 0.7674 0.2348 0.7674
O6 O 0.7674 0.7674 0.2348
```

Summary:
As for the uncorrected formation energy: -1.655 eV/atom. As for the total moment: 0.189 μB/atom.

=====

The following is a DFT calculation (PBE) of BaLi2PtO4 after structural relaxation.

Geometry as CIF:
```
data_BaLi2PtO4
_cell_length_a 5.6185
_cell_length_b 5.6185
_cell_length_c 5.6185
_cell_angle_alpha 125.89
_cell_angle_beta 125.89
_cell_angle_gamma 80.07
_space_group_name_H-M_alt 'P 1'
_space_group_IT_number 1
_space_group_name_Hall 'P 1'
loop_
_atom_site_label
_atom_site_type_symbol
_atom_site_fract_x
_atom_site_fract_y
_atom_site_fract_z
Ba1 Ba 0.0000 0.0000 0.0000
Li1 Li 0.2500 0.7500 0.5000
Li2 Li 0.7500 0.2500 0.5000
Pt1 Pt 0.5000 0.5000 0.0000
O1 O 0.1493 0.1493 0.6418
O2 O 0.4926 0.8507 0.0000
O3 O 0.5074 0.5074 0.3582
O4 O 0.8507 0.4926 0.0000
```

Summary:
As for the uncorrected formation energy: -1.390 eV/atom. As for the total moment: 0.000 μB/atom.

=====

The following is a DFT calculation (PBE) of Ba2LiPtO6 after structural relaxation.

Geometry as CIF:
```
data_Ba2LiPtO6
_cell_length_a 5.8213
_cell_length_b 5.8213
_cell_length_c 5.8213
_cell_angle_alpha 60.00
_cell_angle_beta 60.00
_cell_angle_gamma 60.00
_space_group_name_H-M_alt 'P 1'
_space_group_IT_number 1
_space_group_name_Hall 'P 1'
loop_
_atom_site_label
_atom_site_type_symbol
_atom_site_fract_x
_atom_site_fract_y
_atom_site_fract_z
Ba1 Ba 0.2500 0.2500 0.2500
Ba2 Ba 0.7500 0.7500 0.7500
Li1 Li 0.0000 0.0000 0.0000
Pt1 Pt 0.5000 0.5000 0.5000
O1 O 0.2614 0.2614 0.7386
O2 O 0.2614 0.7386 0.2614
O3 O 0.2614 0.7386 0.7386
O4 O 0.7386 0.2614 0.2614
O5 O 0.7386 0.2614 0.7386
O6 O 0.7386 0.7386 0.2614
```

Summary:
As for the uncorrected formation energy: -1.590 eV/atom. As for the total moment: 0.275 μB/atom.

=====

The following is a DFT calculation (PBE) of BaLiPtO3 after structural relaxation.

Geometry as CIF:
```
data_BaLiPtO3
_cell_length_a 6.7900
_cell_length_b 6.7900
_cell_length_c 5.4518
_cell_angle_alpha 90.00
_cell_angle_beta 90.00
_cell_angle_gamma 131.64
_space_group_name_H-M_alt 'P 1'
_space_group_IT_number 1
_space_group_name_Hall 'P 1'
loop_
_atom_site_label
_atom_site_type_symbol
_atom_site_fract_x
_atom_site_fract_y
_atom_site_fract_z
Ba1 Ba 0.2120 0.7880 0.7500
Ba2 Ba 0.7880 0.2120 0.2500
Li1 Li 0.0705 0.9295 0.2500
Li2 Li 0.9295 0.0705 0.7500
Pt1 Pt 0.4991 0.5009 0.2500
Pt2 Pt 0.5009 0.4991 0.7500
O1 O 0.2241 0.7759 0.2500
O2 O 0.2348 0.2348 0.0000
O3 O 0.2348 0.2348 0.5000
O4 O 0.7652 0.7652 0.0000
O5 O 0.7652 0.7652 0.5000
O6 O 0.7759 0.2241 0.7500
```

Summary:
As for the uncorrected formation energy: -1.435 eV/atom. As for the total moment: 0.055 μB/atom.

=====

The following is a DFT calculation (PBE) of BaLi2PuO6 after structural relaxation.

Geometry as CIF:
```
data_BaLi2PuO6
_cell_length_a 6.1615
_cell_length_b 6.1615
_cell_length_c 5.5215
_cell_angle_alpha 115.61
_cell_angle_beta 115.61
_cell_angle_gamma 54.05
_space_group_name_H-M_alt 'P 1'
_space_group_IT_number 1
_space_group_name_Hall 'P 1'
loop_
_atom_site_label
_atom_site_type_symbol
_atom_site_fract_x
_atom_site_fract_y
_atom_site_fract_z
Ba1 Ba 0.0000 0.0000 0.0000
Li1 Li 0.2709 0.2709 0.8762
Li2 Li 0.7291 0.7291 0.1238
Pu1 Pu 0.5000 0.5000 0.5000
O1 O 0.1352 0.6197 0.2291
O2 O 0.3803 0.8648 0.7709
O3 O 0.3853 0.3853 0.6834
O4 O 0.6147 0.6147 0.3166
O5 O 0.6197 0.1352 0.2291
O6 O 0.8648 0.3803 0.7709
```

Summary:
As for the uncorrected formation energy: -2.221 eV/atom. As for the total moment: 0.005 μB/atom.